Record 1
Computed, not measured: TiCo2 at its PBEsol-relaxed geometry at the meta-GGA SCAN level of DFT.

Lattice parameters (Å, degrees): 4.6261 4.6261 4.6261 60.00 60.00 60.00
Closest atoms and distances in Å follow each position.
Fractional positions:
Ti 0.0000 0.0000 0.0000  12 Co 2.71, 4 Ti 2.83
Co 0.6250 0.6250 0.6250  6 Co 2.31
Co 0.6250 0.6250 0.1250  6 Co 2.31
Co 0.1250 0.6250 0.6250  6 Co 2.31
Ti 0.2500 0.2500 0.2500  12 Co 2.71, 4 Ti 2.83
Co 0.6250 0.1250 0.6250  6 Co 2.31

Calculated values
- DOS at the Fermi energy (states/eV/atom) = 1.1929
- ΔH_f (0 K) (eV/f.u.) = -0.534

***

Record 2
Computed, not measured: ReRuAu2 at its PBEsol-relaxed geometry at the meta-GGA SCAN level of DFT.

Lattice parameters (Å, degrees): 2.7751 4.9198 4.9198 114.67 90.00 90.00
Closest atoms and distances in Å follow each position.
Fractional positions:
Ru 0.5000 0.5000 0.5000  2 Re 2.66, 2 Ru 2.78, 8 Au 2.82
Au 0.0000 0.0000 0.5000  4 Au 2.66-2.78, 4 Ru 2.82, 4 Re 2.82
Au 0.0000 0.5000 0.0000  4 Au 2.66-2.78, 4 Re 2.82, 4 Ru 2.82
Re 0.5000 0.0000 0.0000  2 Ru 2.66, 2 Re 2.78, 8 Au 2.82

Calculated values
- DOS at the Fermi energy (states/eV/atom) = 0.7017
- ΔH_f (0 K) (eV/f.u.) = 2.262

***

Record 3
Computed, not measured: Cs2KCdTe at its PBEsol-relaxed geometry at the meta-GGA SCAN level of DFT.

Lattice parameters (Å, degrees): 6.0012 7.2080 7.2080 90.00 90.00 90.00
Closest atoms and distances in Å follow each position.
Fractional positions:
Cs 0.0000 0.5000 0.0000  2 K 3.60
Cd 0.5000 0.5000 0.5000  8 Cs 4.69, 4 Te 5.10
Te 0.5000 0.0000 0.0000  2 K 3.00
Cs 0.0000 0.0000 0.5000  2 K 3.60
K 0.0000 0.0000 0.0000  2 Te 3.00

Calculated values
- DOS at the Fermi energy (states/eV/atom) = 0.5290
- E_form (uncorrected) (meV per atom) = -208

***

Record 4
Computed, not measured: HgTeMo2 at its PBEsol-relaxed geometry at the meta-GGA SCAN level of DFT.

Lattice parameters (Å, degrees): 3.0479 5.2892 5.2892 113.70 101.11 101.11
Closest atoms and distances in Å follow each position.
Fractional positions:
Hg 0.5000 0.5000 0.5000  4 Mo 2.79, 2 Te 2.89, 2 Hg 3.05
Mo 0.0000 0.0000 0.5000  2 Hg 2.79, 2 Te 2.79, 4 Mo 2.89-3.05
Te 0.5000 0.0000 0.0000  4 Mo 2.79, 2 Hg 2.89, 2 Te 3.05
Mo 0.0000 0.5000 0.0000  2 Te 2.79, 2 Hg 2.79, 4 Mo 2.89-3.05

Calculated values
- DOS at the Fermi energy (states/eV/atom) = 0.8686
- E_form (uncorrected) (meV per atom) = 837

***

Record 5
Computed, not measured: RbTaCr3 at its PBEsol-relaxed geometry at the meta-GGA SCAN level of DFT.

Lattice parameters (Å, degrees): 4.9430 4.9430 4.9430 90.00 90.00 90.00
Closest atoms and distances in Å follow each position.
Fractional positions:
Rb 0.5000 0.5000 0.5000  12 Cr 3.50
Cr 0.0000 0.0000 0.5000  2 Ta 2.47
Cr 0.0000 0.5000 0.0000  2 Ta 2.47
Cr 0.5000 0.0000 0.0000  2 Ta 2.47
Ta 0.0000 0.0000 0.0000  6 Cr 2.47

Calculated values
- DOS at the Fermi energy (states/eV/atom) = 0.3081
- ΔH_f (0 K) (eV/f.u.) = 6.747

***

Record 6
Computed, not measured: ZrIN2O at its PBEsol-relaxed geometry at the meta-GGA SCAN level of DFT.

Lattice parameters (Å, degrees): 3.9622 4.3622 4.3622 90.00 90.00 90.00
Closest atoms and distances in Å follow each position.
Fractional positions:
I 0.5000 0.5000 0.5000  8 N 2.95, 4 O 3.08
N 0.0000 0.5000 0.0000  2 Zr 2.18
N 0.0000 0.0000 0.5000  2 Zr 2.18
O 0.5000 0.0000 0.0000  2 Zr 1.98
Zr 0.0000 0.0000 0.0000  2 O 1.98, 4 N 2.18

Calculated values
- DOS at the Fermi energy (states/eV/atom) = 0.5574
- E_form (uncorrected) (meV per atom) = 43

***

Record 7
Computed, not measured: AlAgCl2 at its PBEsol-relaxed geometry at the meta-GGA SCAN level of DFT.

Lattice parameters (Å, degrees): 3.7817 3.7817 5.8155 90.00 90.00 90.00
Closest atoms and distances in Å follow each position.
Fractional positions:
Ag 0.0000 0.0000 0.4631  5 Cl 2.70-2.90
Al 0.5000 0.5000 0.8383  5 Cl 2.52-2.72
Cl 0.0000 0.0000 0.9270  1 Ag 2.70, 4 Al 2.72
Cl 0.5000 0.5000 0.2717  1 Al 2.52

Calculated values
- E_form (uncorrected) (meV per atom) = -354

***

Record 8
Computed, not measured: MgIn3Br at its PBEsol-relaxed geometry at the meta-GGA SCAN level of DFT.

Lattice parameters (Å, degrees): 5.4482 5.4482 5.4482 90.00 90.00 90.00
Closest atoms and distances in Å follow each position.
Fractional positions:
In 0.0000 0.5000 0.0000  2 Mg 2.72
In 0.0000 0.0000 0.5000  2 Mg 2.72
Br 0.5000 0.5000 0.5000  12 In 3.85
Mg 0.0000 0.0000 0.0000  6 In 2.72
In 0.5000 0.0000 0.0000  2 Mg 2.72

Calculated values
- DOS at the Fermi energy (states/eV/atom) = 0.4308
- E_form (uncorrected) (meV per atom) = 72

***

Record 9
Computed, not measured: NaPdI2N at its PBEsol-relaxed geometry at the meta-GGA SCAN level of DFT.

Lattice parameters (Å, degrees): 3.7445 5.7214 5.7214 90.00 90.00 90.00
Closest atoms and distances in Å follow each position.
Fractional positions:
Pd 0.0000 0.0000 0.0000  2 N 1.87
I 0.0000 0.0000 0.5000  2 Pd 2.86
Na 0.5000 0.5000 0.5000  8 I 3.42, 2 Na 3.74
I 0.0000 0.5000 0.0000  2 Pd 2.86
N 0.5000 0.0000 0.0000  2 Pd 1.87

Calculated values
- DOS at the Fermi energy (states/eV/atom) = 0.4020
- E_form (uncorrected) (meV per atom) = 44

***

Record 10
Computed, not measured: LiYOs2 at its PBEsol-relaxed geometry at the meta-GGA SCAN level of DFT.

Lattice parameters (Å, degrees): 2.9929 5.0128 5.0128 118.79 90.00 90.00
Closest atoms and distances in Å follow each position.
Fractional positions:
Os 0.0000 0.5000 0.0000  2 Os 2.55
Li 0.5000 0.5000 0.5000  2 Y 2.55
Y 0.5000 0.0000 0.0000  2 Li 2.55
Os 0.0000 0.0000 0.5000  2 Os 2.55

Calculated values
- DOS at the Fermi energy (states/eV/atom) = 0.6736
- ΔH_f (0 K) (eV/f.u.) = 1.376

***

Record 11
Computed, not measured: AlSn2Bi at its PBEsol-relaxed geometry at the meta-GGA SCAN level of DFT.

Lattice parameters (Å, degrees): 5.2620 5.2620 5.2620 60.00 60.00 60.00
Closest atoms and distances in Å follow each position.
Fractional positions:
Bi 0.5000 0.5000 0.5000  8 Sn 3.22
Sn 0.2500 0.2500 0.2500  4 Al 3.22, 4 Bi 3.22
Sn 0.7500 0.7500 0.7500  4 Bi 3.22, 4 Al 3.22
Al 0.0000 0.0000 0.0000  8 Sn 3.22

Calculated values
- DOS at the Fermi energy (states/eV/atom) = 0.7641
- ΔH_f (0 K) (eV/f.u.) = 1.282

***

Record 12
Computed, not measured: Sc2Tc at its PBEsol-relaxed geometry at the meta-GGA SCAN level of DFT.

Lattice parameters (Å, degrees): 3.4701 7.4592 7.4592 120.00 90.00 90.00
Closest atoms and distances in Å follow each position.
Fractional positions:
Tc 0.0000 0.3333 0.6667  9 Sc 2.74-2.88
Sc 0.0000 0.2721 0.0000  4 Tc 2.67-2.74
Tc 0.0000 0.6667 0.3333  9 Sc 2.74-2.88
Sc 0.5000 0.6071 0.0000  5 Tc 2.88-2.93, 6 Sc 3.04-3.13
Sc 0.0000 0.7279 0.7279  4 Tc 2.67-2.74
Sc 0.5000 0.3929 0.3929  5 Tc 2.88-2.93, 6 Sc 3.04-3.13
Sc 0.0000 0.0000 0.2721  4 Tc 2.67-2.74
Sc 0.5000 0.0000 0.6071  5 Tc 2.88-2.93, 6 Sc 3.04-3.13
Tc 0.5000 0.0000 0.0000  9 Sc 2.67-2.93

Calculated values
- DOS at the Fermi energy (states/eV/atom) = 0.5170
- ΔH_f (0 K) (eV/f.u.) = -0.565